Entry 1:
RbTi3Mn: optimized geometry, GGA-PBE.

ΔE_f	0.82	eV per atom
mass density	4.33	g/cm³

Structure (CIF):
```
data_RbTi3Mn
_chemical_formula_sum 'Rb1 Ti3 Mn1'
_cell_length_a 4.774
_cell_length_b 4.774
_cell_length_c 4.774
_cell_angle_alpha 90.00
_cell_angle_beta 90.00
_cell_angle_gamma 90.00
_space_group_name_H-M_alt 'P 1'
_space_group_IT_number 1
loop_
_space_group_symop_operation_xyz
'x,y,z'
loop_
_atom_site_label
_atom_site_type_symbol
_atom_site_fract_x
_atom_site_fract_y
_atom_site_fract_z
Mn1 Mn 0.000 0.000 0.000
Ti1 Ti 0.000 0.500 0.000
Ti2 Ti 0.500 0.000 0.000
Rb1 Rb 0.500 0.500 0.500
Ti3 Ti 0.000 0.000 0.500
```


Entry 2:
Ge2Bi2F: optimized geometry, GGA-PBE.

mass density	7.87	g/cm³
ΔE_f (raw)	-0.279	eV/atom

Structure (CIF):
```
data_Ge2Bi2F
_chemical_formula_sum 'Ge4 Bi4 F2'
_cell_length_a 7.351
_cell_length_b 7.351
_cell_length_c 4.548
_cell_angle_alpha 90.00
_cell_angle_beta 90.00
_cell_angle_gamma 90.00
_space_group_name_H-M_alt 'P 1'
_space_group_IT_number 1
loop_
_space_group_symop_operation_xyz
'x,y,z'
loop_
_atom_site_label
_atom_site_type_symbol
_atom_site_fract_x
_atom_site_fract_y
_atom_site_fract_z
Bi1 Bi 0.798 0.702 0.000
Ge1 Ge 0.120 0.620 0.500
F1 F 0.000 0.000 0.000
F2 F 0.500 0.500 0.000
Bi2 Bi 0.298 0.798 0.000
Bi3 Bi 0.202 0.298 0.000
Bi4 Bi 0.702 0.202 0.000
Ge2 Ge 0.380 0.120 0.500
Ge3 Ge 0.880 0.380 0.500
Ge4 Ge 0.620 0.880 0.500
```


Entry 3:
NaTl2Hg6: optimized geometry, GGA-PBE.

ΔE_f	-0.07	eV per atom
mass density	10.82	g/cm³

Structure (CIF):
```
data_NaTl2Hg6
_chemical_formula_sum 'Na1 Tl2 Hg6'
_cell_length_a 3.354
_cell_length_b 9.235
_cell_length_c 9.235
_cell_angle_alpha 68.99
_cell_angle_beta 73.65
_cell_angle_gamma 73.65
_space_group_name_H-M_alt 'P 1'
_space_group_IT_number 1
loop_
_space_group_symop_operation_xyz
'x,y,z'
loop_
_atom_site_label
_atom_site_type_symbol
_atom_site_fract_x
_atom_site_fract_y
_atom_site_fract_z
Tl1 Tl 0.749 0.627 0.627
Hg1 Hg 0.500 0.281 0.719
Hg2 Hg 0.702 0.664 0.964
Tl2 Tl 0.251 0.373 0.373
Hg3 Hg 0.500 0.719 0.281
Na1 Na 0.000 0.000 0.000
Hg4 Hg 0.702 0.964 0.664
Hg5 Hg 0.298 0.336 0.036
Hg6 Hg 0.298 0.036 0.336
```


Entry 4:
MnPtRh: optimized geometry, GGA-PBE.

ΔE_f	-0.09	eV per atom
mass density	12.91	g/cm³

Structure (CIF):
```
data_MnPtRh
_chemical_formula_sum 'Mn2 Pt2 Rh2'
_cell_length_a 2.783
_cell_length_b 5.172
_cell_length_c 7.307
_cell_angle_alpha 115.32
_cell_angle_beta 90.00
_cell_angle_gamma 105.61
_space_group_name_H-M_alt 'P 1'
_space_group_IT_number 1
loop_
_space_group_symop_operation_xyz
'x,y,z'
loop_
_atom_site_label
_atom_site_type_symbol
_atom_site_fract_x
_atom_site_fract_y
_atom_site_fract_z
Pt1 Pt 0.139 0.277 0.151
Rh1 Rh 0.623 0.245 0.467
Mn1 Mn 0.119 0.238 0.785
Mn2 Mn 0.881 0.762 0.215
Pt2 Pt 0.861 0.723 0.849
Rh2 Rh 0.377 0.755 0.533
```


Entry 5:
La2SmPb: optimized geometry, GGA-PBE.

ΔE_f	-0.18	eV per atom
mass density	8.03	g/cm³

Structure (CIF):
```
data_La2SmPb
_chemical_formula_sum 'La2 Sm1 Pb1'
_cell_length_a 5.707
_cell_length_b 5.707
_cell_length_c 5.707
_cell_angle_alpha 60.00
_cell_angle_beta 60.00
_cell_angle_gamma 60.00
_space_group_name_H-M_alt 'P 1'
_space_group_IT_number 1
loop_
_space_group_symop_operation_xyz
'x,y,z'
loop_
_atom_site_label
_atom_site_type_symbol
_atom_site_fract_x
_atom_site_fract_y
_atom_site_fract_z
La1 La 0.750 0.750 0.750
La2 La 0.250 0.250 0.250
Pb1 Pb 0.500 0.500 0.500
Sm1 Sm 0.000 0.000 0.000
```


Entry 6:
Rb3AlTc: optimized geometry, GGA-PBE.

ΔE_f	1.45	eV per atom
mass density	1.98	g/cm³

Structure (CIF):
```
data_Rb3AlTc
_chemical_formula_sum 'Rb3 Al1 Tc1'
_cell_length_a 6.835
_cell_length_b 6.835
_cell_length_c 6.835
_cell_angle_alpha 90.00
_cell_angle_beta 90.00
_cell_angle_gamma 90.00
_space_group_name_H-M_alt 'P 1'
_space_group_IT_number 1
loop_
_space_group_symop_operation_xyz
'x,y,z'
loop_
_atom_site_label
_atom_site_type_symbol
_atom_site_fract_x
_atom_site_fract_y
_atom_site_fract_z
Rb1 Rb 0.500 0.000 0.000
Rb2 Rb 0.000 0.000 0.500
Tc1 Tc 0.500 0.500 0.500
Rb3 Rb 0.000 0.500 0.000
Al1 Al 0.000 0.000 0.000
```


Entry 7:
Na2Cr2As: optimized geometry, GGA-PBE.

ΔE_f	0.49	eV per atom
mass density	3.77	g/cm³

Structure (CIF):
```
data_Na2Cr2As
_chemical_formula_sum 'Na2 Cr2 As1'
_cell_length_a 3.116
_cell_length_b 3.116
_cell_length_c 10.438
_cell_angle_alpha 81.41
_cell_angle_beta 81.41
_cell_angle_gamma 90.00
_space_group_name_H-M_alt 'P 1'
_space_group_IT_number 1
loop_
_space_group_symop_operation_xyz
'x,y,z'
loop_
_atom_site_label
_atom_site_type_symbol
_atom_site_fract_x
_atom_site_fract_y
_atom_site_fract_z
Cr1 Cr 0.750 0.250 0.500
As1 As 0.000 0.000 0.000
Na1 Na 0.607 0.607 0.786
Cr2 Cr 0.250 0.750 0.500
Na2 Na 0.393 0.393 0.214
```


Entry 8:
BaBeAl: optimized geometry, GGA-PBE.

ΔE_f	-0.06	eV per atom
mass density	3.33	g/cm³

Structure (CIF):
```
data_BaBeAl
_chemical_formula_sum 'Ba2 Be2 Al2'
_cell_length_a 3.982
_cell_length_b 4.503
_cell_length_c 9.685
_cell_angle_alpha 94.73
_cell_angle_beta 90.15
_cell_angle_gamma 90.00
_space_group_name_H-M_alt 'P 1'
_space_group_IT_number 1
loop_
_space_group_symop_operation_xyz
'x,y,z'
loop_
_atom_site_label
_atom_site_type_symbol
_atom_site_fract_x
_atom_site_fract_y
_atom_site_fract_z
Ba1 Ba 0.752 0.217 0.795
Ba2 Ba 0.248 0.783 0.205
Be1 Be 0.750 0.876 0.487
Al1 Al 0.749 0.355 0.414
Be2 Be 0.250 0.124 0.513
Al2 Al 0.251 0.645 0.586
```


Entry 9:
AcTcPb2O8: optimized geometry, GGA-PBE.

mass density	7.57	g/cm³
ΔE_f (raw)	-1.501	eV/atom

Structure (CIF):
```
data_AcTcPb2O8
_chemical_formula_sum 'Ac1 Tc1 Pb2 O8'
_cell_length_a 5.198
_cell_length_b 5.200
_cell_length_c 7.041
_cell_angle_alpha 89.99
_cell_angle_beta 89.99
_cell_angle_gamma 88.34
_space_group_name_H-M_alt 'P 1'
_space_group_IT_number 1
loop_
_space_group_symop_operation_xyz
'x,y,z'
loop_
_atom_site_label
_atom_site_type_symbol
_atom_site_fract_x
_atom_site_fract_y
_atom_site_fract_z
O1 O 0.180 0.815 0.200
O2 O 0.741 0.746 0.000
O3 O 0.820 0.185 0.800
Ac1 Ac 0.000 0.000 0.500
Pb1 Pb 0.500 0.500 0.242
O4 O 0.259 0.254 0.000
Pb2 Pb 0.500 0.500 0.758
O5 O 0.326 0.320 0.500
O6 O 0.820 0.184 0.200
Tc1 Tc 0.000 0.000 0.000
O7 O 0.674 0.680 0.500
O8 O 0.180 0.816 0.800
```


Entry 10:
Ca2DyHg3: optimized geometry, GGA-PBE.

ΔE_f	-0.54	eV per atom
mass density	8.79	g/cm³

Structure (CIF):
```
data_Ca2DyHg3
_chemical_formula_sum 'Ca4 Dy2 Hg6'
_cell_length_a 5.304
_cell_length_b 8.349
_cell_length_c 7.600
_cell_angle_alpha 90.00
_cell_angle_beta 90.00
_cell_angle_gamma 71.48
_space_group_name_H-M_alt 'P 1'
_space_group_IT_number 1
loop_
_space_group_symop_operation_xyz
'x,y,z'
loop_
_atom_site_label
_atom_site_type_symbol
_atom_site_fract_x
_atom_site_fract_y
_atom_site_fract_z
Hg1 Hg 0.500 0.000 0.241
Dy1 Dy 0.666 0.668 0.000
Hg2 Hg 0.169 0.663 0.240
Hg3 Hg 0.169 0.663 0.760
Hg4 Hg 0.831 0.337 0.760
Ca1 Ca 0.334 0.332 0.500
Ca2 Ca 0.000 0.000 0.500
Ca3 Ca 0.666 0.668 0.500
Hg5 Hg 0.831 0.337 0.240
Hg6 Hg 0.500 0.000 0.759
Dy2 Dy 0.334 0.332 0.000
Ca4 Ca 0.000 0.000 0.000
```


Entry 11:
ZrHg2: optimized geometry, GGA-PBE.

ΔE_f	0.03	eV per atom
mass density	11.81	g/cm³

Structure (CIF):
```
data_ZrHg2
_chemical_formula_sum 'Zr2 Hg4'
_cell_length_a 7.922
_cell_length_b 7.922
_cell_length_c 5.422
_cell_angle_alpha 90.00
_cell_angle_beta 90.00
_cell_angle_gamma 155.98
_space_group_name_H-M_alt 'P 1'
_space_group_IT_number 1
loop_
_space_group_symop_operation_xyz
'x,y,z'
loop_
_atom_site_label
_atom_site_type_symbol
_atom_site_fract_x
_atom_site_fract_y
_atom_site_fract_z
Hg1 Hg 0.559 0.441 0.750
Hg2 Hg 0.889 0.111 0.750
Hg3 Hg 0.441 0.559 0.250
Zr1 Zr 0.226 0.774 0.750
Zr2 Zr 0.774 0.226 0.250
Hg4 Hg 0.111 0.889 0.250
```


Entry 12:
PRuO: optimized geometry, GGA-PBE.

mass density	6.50	g/cm³
ΔE_f (raw)	-0.965	eV/atom

Structure (CIF):
```
data_PRuO
_chemical_formula_sum 'P4 Ru4 O4'
_cell_length_a 5.441
_cell_length_b 5.329
_cell_length_c 5.438
_cell_angle_alpha 106.32
_cell_angle_beta 90.00
_cell_angle_gamma 90.00
_space_group_name_H-M_alt 'P 1'
_space_group_IT_number 1
loop_
_space_group_symop_operation_xyz
'x,y,z'
loop_
_atom_site_label
_atom_site_type_symbol
_atom_site_fract_x
_atom_site_fract_y
_atom_site_fract_z
P1 P 0.394 0.321 0.200
Ru1 Ru 0.003 0.266 0.289
Ru2 Ru 0.997 0.734 0.711
O1 O 0.916 0.168 0.849
O2 O 0.584 0.168 0.349
Ru3 Ru 0.503 0.734 0.211
P2 P 0.606 0.679 0.800
Ru4 Ru 0.497 0.266 0.789
O3 O 0.084 0.832 0.151
O4 O 0.416 0.832 0.651
P3 P 0.894 0.679 0.300
P4 P 0.106 0.321 0.700
```